No. 1
The following is a GGA-PBEsol calculation of a relaxed structure of GaRe3Ag, from the Alexandria database.

Output
SG	Pm-3m
DFT formation energy	2.146	eV/atom
VASP energy	-7.184	eV/atom

Cell: 4.473 4.473 4.473 Å, 90.00 90.00 90.00°
Fractional positions:
1 Ga 0.000 0.000 0.000
2 Re 0.000 0.000 0.500
3 Re 0.000 0.500 0.000
4 Re 0.500 0.000 0.000
5 Ag 0.500 0.500 0.500


No. 2
The following is a GGA-PBEsol calculation of a relaxed structure of GaTc2AgRh, from the Alexandria database.

Output
SG	P4/mmm
DFT formation energy	1.496	eV/atom
VASP energy	-5.969	eV/atom

Cell: 4.503 4.503 4.428 Å, 90.00 90.00 90.00°
Fractional positions:
1 Ga 0.000 0.000 0.000
2 Tc 0.000 0.500 0.000
3 Tc 0.500 0.000 0.000
4 Ag 0.500 0.500 0.500
5 Rh 0.000 0.000 0.500


No. 3
The following is a GGA-PBEsol calculation of a relaxed structure of GaAg3Ru, from the Alexandria database.

Output
SG	Pm-3m
DFT formation energy	1.378	eV/atom
VASP energy	-3.312	eV/atom

Cell: 4.954 4.954 4.954 Å, 90.00 90.00 90.00°
Fractional positions:
1 Ga 0.000 0.000 0.000
2 Ag 0.000 0.500 0.500
3 Ag 0.500 0.000 0.500
4 Ag 0.500 0.500 0.000
5 Ru 0.500 0.500 0.500


No. 4
The following is a GGA-PBEsol calculation of a relaxed structure of Ga3AgRu, from the Alexandria database.

Output
SG	Pm-3m
DFT formation energy	1.147	eV/atom
VASP energy	-3.553	eV/atom

Cell: 4.708 4.708 4.708 Å, 90.00 90.00 90.00°
Fractional positions:
1 Ga 0.000 0.000 0.500
2 Ga 0.000 0.500 0.000
3 Ga 0.500 0.000 0.000
4 Ag 0.000 0.000 0.000
5 Ru 0.500 0.500 0.500


No. 5
The following is a GGA-PBEsol calculation of a relaxed structure of GaAg3S, from the Alexandria database.

Output
SG	Pm-3m
VASP energy	-3.141	eV/atom

Cell: 4.767 4.767 4.767 Å, 90.00 90.00 90.00°
Fractional positions:
1 Ga 0.000 0.000 0.000
2 Ag 0.000 0.500 0.500
3 Ag 0.500 0.000 0.500
4 Ag 0.500 0.500 0.000
5 S 0.500 0.500 0.500


No. 6
The following is a GGA-PBEsol calculation of a relaxed structure of GaAgS2, from the Alexandria database.

Output
SG	R3m
VASP energy	-4.223	eV/atom

Cell: 3.550 3.550 20.346 Å, 90.00 90.00 120.00°
Fractional positions:
1 Ga 0.000 0.000 0.000
2 Ga 0.333 0.667 0.667
3 Ga 0.667 0.333 0.333
4 Ag 0.000 0.000 0.155
5 Ag 0.333 0.667 0.822
6 Ag 0.667 0.333 0.489
7 S 0.000 0.000 0.272
8 S 0.000 0.000 0.738
9 S 0.333 0.667 0.404
10 S 0.333 0.667 0.938
11 S 0.667 0.333 0.071
12 S 0.667 0.333 0.605